No. 1
Material: Rb3Ce2YTe6
Method: DFT, PBE
State: relaxed

The structure in POSCAR format:
```
Rb3Ce2YTe6
1.0
4.020 -6.963 0.000
4.020 6.963 0.000
-2.682 0.000 8.537
Rb Ce Y Te
3 2 1 6
Cartesian
0.000 0.000 0.000
4.020 2.342 0.000
4.020 -2.342 0.000
2.679 4.645 4.269
2.679 -4.645 4.269
2.679 0.000 4.269
1.371 2.268 2.541
0.062 0.000 6.000
1.371 -2.268 2.541
3.987 2.268 5.996
5.296 0.000 2.537
3.987 -2.268 5.996
```

Properties
Raw formation energy (eV per atom): -1.36
Crystal system: monoclinic
Density of states at the Fermi level (states/eV per cell): 12.4



No. 2
Material: ReOsPt2
Method: DFT, PBE
State: relaxed

The structure in POSCAR format:
```
ReOsPt2
1.0
4.615 -1.369 0.000
4.615 1.369 0.000
-0.805 0.000 4.755
Re Os Pt
1 1 2
Cartesian
0.000 0.000 0.000
1.738 0.000 3.683
4.260 0.000 2.441
6.709 0.000 1.237
```

Properties
Offset from the most stable computed form (kJ/mol of atoms): 10.45
Crystal system: monoclinic
Density of states at the Fermi level (states/eV per cell): 4.2
ΔE_f (eV/atom): 0.02